Density functional theory data (GGA-PBEsol) for a relaxed ZnBr5 crystal.

The structure in POSCAR format:
```
ZnBr5
1.0
7.463 0.000 0.000
0.000 1.794 6.523
0.000 -1.794 6.523
Zn Br
1 5
direct
0.000 0.000 0.000
0.000 0.369 0.369
0.000 0.630 0.630
0.500 0.163 0.163
0.500 0.496 0.496
0.500 0.828 0.828
```

total DFT energy (no corrections): -2.05 eV/atom
space-group type: Amm2, No. 38
volume: 175 Å³/f.u.
formation energy (no corrections): -0.23 eV/atom



Density functional theory data (GGA-PBEsol) for a relaxed ZrZn2Br crystal.

The structure in POSCAR format:
```
ZrZn2Br
1.0
-1.636 2.480 4.694
1.636 -2.480 4.694
1.636 2.480 -4.694
Zr Zn Br
1 2 1
direct
0.000 0.000 0.000
0.515 0.515 0.000
0.747 0.247 0.500
0.232 0.732 0.500
```

total DFT energy (no corrections): -3.61 eV/atom
space-group type: Imm2, No. 44
ΔE to the lowest computed polymorph: 0.209 eV/atom
volume: 76 Å³/f.u.
formation energy (no corrections): -0.08 eV/atom



Density functional theory data (GGA-PBEsol) for a relaxed ZrZn2Br crystal.

The structure in POSCAR format:
```
ZrZn2Br
1.0
3.499 0.000 0.000
0.000 3.499 0.000
0.000 0.000 6.246
Zr Zn Br
1 2 1
direct
0.000 0.000 0.000
0.500 0.500 0.227
0.500 0.500 0.773
0.000 0.000 0.500
```

total DFT energy (no corrections): -3.58 eV/atom
space-group type: P4/mmm, No. 123
ΔE to the lowest computed polymorph: 0.242 eV/atom
volume: 76 Å³/f.u.
formation energy (no corrections): -0.05 eV/atom



Density functional theory data (GGA-PBEsol) for a relaxed ZrZn2Br crystal.

The structure in POSCAR format:
```
ZrZn2Br
1.0
3.163 0.000 0.000
0.000 3.163 0.000
0.000 0.000 8.037
Zr Zn Br
1 2 1
direct
0.000 0.000 0.000
0.000 0.000 0.611
0.500 0.500 0.766
0.500 0.500 0.216
```

total DFT energy (no corrections): -3.82 eV/atom
space-group type: P4mm, No. 99
ΔE to the lowest computed polymorph: 0.000 eV/atom
volume: 80 Å³/f.u.
formation energy (no corrections): -0.29 eV/atom



Density functional theory data (GGA-PBEsol) for a relaxed ZrBr crystal.

The structure in POSCAR format:
```
ZrBr
1.0
3.006 -1.738 0.000
3.006 1.738 0.000
-2.779 0.000 9.589
Zr Br
2 2
direct
0.110 0.110 0.378
0.890 0.890 0.622
0.354 0.354 0.183
0.646 0.646 0.817
```

total DFT energy (no corrections): -6.51 eV/atom
space-group type: C2/m, No. 12
ΔE to the lowest computed polymorph: 0.001 eV/atom
volume: 50 Å³/f.u.
formation energy (no corrections): -1.03 eV/atom



Density functional theory data (GGA-PBEsol) for a relaxed ZrBr4 crystal.

The structure in POSCAR format:
```
ZrBr4
1.0
11.578 0.000 0.000
0.000 11.578 0.000
0.000 0.000 11.578
Zr Br
8 32
direct
0.129 0.129 0.129
0.129 0.371 0.629
0.371 0.629 0.129
0.371 0.871 0.629
0.629 0.129 0.371
0.629 0.371 0.871
0.871 0.629 0.371
0.871 0.871 0.871
0.003 0.249 0.509
0.003 0.251 0.009
0.009 0.003 0.251
0.009 0.497 0.751
0.248 0.748 0.752
0.248 0.752 0.252
0.249 0.509 0.003
0.249 0.991 0.503
0.251 0.009 0.003
0.251 0.491 0.503
0.252 0.248 0.752
0.252 0.252 0.252
0.491 0.503 0.251
0.491 0.997 0.751
0.497 0.749 0.509
0.497 0.751 0.009
0.503 0.249 0.991
0.503 0.251 0.491
0.509 0.003 0.249
0.509 0.497 0.749
0.748 0.748 0.748
0.748 0.752 0.248
0.749 0.509 0.497
0.749 0.991 0.997
0.751 0.009 0.497
0.751 0.491 0.997
0.752 0.248 0.748
0.752 0.252 0.248
0.991 0.503 0.249
0.991 0.997 0.749
0.997 0.749 0.991
0.997 0.751 0.491
```

total DFT energy (no corrections): -4.58 eV/atom
space-group type: Pa-3, No. 205
volume: 194 Å³/f.u.
formation energy (no corrections): -1.27 eV/atom



Density functional theory data (GGA-PBEsol) for a relaxed ZrBr crystal.

The structure in POSCAR format:
```
ZrBr
1.0
3.255 0.000 0.000
0.000 3.255 0.000
0.000 0.000 8.887
Zr Br
2 2
direct
0.250 0.250 0.133
0.750 0.750 0.867
0.250 0.250 0.678
0.750 0.750 0.322
```

total DFT energy (no corrections): -6.26 eV/atom
space-group type: P4/nmm, No. 129
ΔE to the lowest computed polymorph: 0.255 eV/atom
volume: 47 Å³/f.u.
formation energy (no corrections): -0.78 eV/atom



Density functional theory data (GGA-PBEsol) for a relaxed Zr4Br crystal.

The structure in POSCAR format:
```
Zr4Br
1.0
-3.085 3.085 3.085
3.085 -3.085 3.085
3.085 3.085 -3.085
Zr Br
4 1
direct
0.000 0.000 0.500
0.000 0.500 0.000
0.500 0.000 0.000
0.500 0.500 0.500
0.000 0.000 0.000
```

total DFT energy (no corrections): -7.13 eV/atom
space-group type: Im-3m, No. 229
volume: 117 Å³/f.u.
formation energy (no corrections): 0.52 eV/atom



Density functional theory data (GGA-PBEsol) for a relaxed ZrBr crystal.

The structure in POSCAR format:
```
ZrBr
1.0
2.255 1.302 5.337
-2.255 1.302 5.337
0.000 -2.604 5.337
Zr Br
2 2
direct
0.092 0.092 0.092
0.908 0.908 0.908
0.393 0.393 0.393
0.607 0.607 0.607
```

total DFT energy (no corrections): -5.61 eV/atom
space-group type: R-3m, No. 166
ΔE to the lowest computed polymorph: 0.900 eV/atom
volume: 47 Å³/f.u.
formation energy (no corrections): -0.13 eV/atom



Density functional theory data (GGA-PBEsol) for a relaxed ZrBr crystal.

The structure in POSCAR format:
```
ZrBr
1.0
-1.913 1.913 5.681
1.913 -1.913 5.681
1.913 1.913 -5.681
Zr Br
2 2
direct
0.375 0.625 0.750
0.625 0.375 0.250
0.125 0.875 0.250
0.875 0.125 0.750
```

total DFT energy (no corrections): -5.60 eV/atom
space-group type: I4_1/amd, No. 141
ΔE to the lowest computed polymorph: 0.909 eV/atom
volume: 42 Å³/f.u.
formation energy (no corrections): -0.12 eV/atom



Density functional theory data (GGA-PBEsol) for a relaxed ZrBr5 crystal.

The structure in POSCAR format:
```
ZrBr5
1.0
5.386 0.000 0.000
-2.693 4.665 0.000
0.000 0.000 7.134
Zr Br
1 5
direct
0.000 0.000 0.000
0.000 0.500 0.500
0.333 0.667 0.000
0.500 0.000 0.500
0.500 0.500 0.500
0.667 0.333 0.000
```

total DFT energy (no corrections): -3.00 eV/atom
space-group type: P6/mmm, No. 191
volume: 179 Å³/f.u.
formation energy (no corrections): 0.07 eV/atom



Density functional theory data (GGA-PBEsol) for a relaxed ZrBr crystal.

The structure in POSCAR format:
```
ZrBr
1.0
-1.626 2.378 5.407
1.626 -2.378 5.407
1.626 2.378 -5.407
Zr Br
2 2
direct
0.360 0.110 0.250
0.640 0.890 0.750
0.145 0.395 0.750
0.855 0.605 0.250
```

total DFT energy (no corrections): -5.89 eV/atom
space-group type: Imma, No. 74
ΔE to the lowest computed polymorph: 0.619 eV/atom
volume: 42 Å³/f.u.
formation energy (no corrections): -0.41 eV/atom